[1]
# RbCeHo2

An optimized crystal structure of RbCeHo2 (PBE, Alexandria).

Geometry as POSCAR:
```
RbCeHo2
1.0
-1.9165 1.6036 3.5132
-4.2861 0.4545 0.0997
-3.0455 -9.4321 5.2891
Rb Ce Ho
1 1 2
direct
0.0000 0.0000 0.0000
0.5000 0.5000 0.5000
0.1184 0.1184 0.6448
0.8816 0.8816 0.3552
```

The formation energy comes out at 0.90 eV/atom. Its density of states at the Fermi level is 7.9 states/eV per cell. The calculation puts the total energy at -3.1149 eV per atom.

---

[2]
# YVSeBr2

An optimized crystal structure of YVSeBr2 (PBE, Alexandria).

Geometry as POSCAR:
```
YVSeBr2
1.0
5.5079 0.0000 0.0000
0.0000 5.5079 0.0000
0.0000 0.0000 5.5540
Y V Br Se
1 1 2 1
direct
0.0000 0.0000 0.0000
0.5000 0.5000 0.5000
0.0000 0.5000 0.0000
0.5000 0.0000 0.0000
0.0000 0.0000 0.5000
```

Its density of states at the Fermi level is 5.0 states/eV per cell. The excess energy over the best structure of this formula in the dataset comes out at 0.38 eV/f.u. The uncorrected formation energy comes out at -0.458 eV/atom. The calculation puts the total energy at -4.9405 eV per atom.